HoScSnRu: relaxed, PBE-GGA.

Output
DFT total energy   -25.98 eV/cell
DFT formation energy   -0.449 eV per atom

```
HoScSnRu
1.0
-2.668 1.328 3.912
0.861 -2.064 4.379
2.061 2.641 3.600
Sc Ru Ho Sn
1 1 1 1
direct
0.000 0.000 0.000
0.250 0.250 0.250
0.500 0.500 0.500
0.750 0.750 0.750
```